Record 1
First-principles (PBE) data for PIrS2O after structural relaxation, as listed in Alexandria via LeMat-Bulk.

a = 4.536 Å, b = 4.536 Å, c = 4.756 Å
α = 90.00°, β = 90.00°, γ = 90.00°
Space group P4/mmm (No. 123)
Inequivalent atoms, fractional coordinates:
P  0.000  0.000  0.000
Ir  0.000  0.000  0.500
S  0.000  0.500  0.500
O  0.500  0.500  0.000

Computed properties:
relative energy among the computed polymorphs = 143 meV per atom
raw formation energy = 556 kJ/mol of formula units
total moment = 0.00 μB/atom

Record 2
First-principles (PBE) data for Re3SbMo after structural relaxation, as listed in Alexandria via LeMat-Bulk.

a = 4.749 Å, b = 4.749 Å, c = 4.749 Å
α = 90.00°, β = 90.00°, γ = 90.00°
Space group Pm-3m (No. 221)
Inequivalent atoms, fractional coordinates:
Re  0.000  0.000  0.500
Sb  0.500  0.500  0.500
Mo  0.000  0.000  0.000

Computed properties:
relative energy among the computed polymorphs = 0 meV per atom
raw formation energy = 1011 kJ/mol of formula units
total moment = 0.22 μB/atom

Record 3
First-principles (PBE) data for Ce2ErTi after structural relaxation, as listed in Alexandria via LeMat-Bulk.

a = 3.3092 Å, b = 3.3092 Å, c = 32.2727 Å
α = 90.00°, β = 90.00°, γ = 120.00°
Space group R-3m (No. 166, hexagonal axes)
Inequivalent atoms, fractional coordinates:
Ce  0.0000  0.0000  0.2435
Er  0.0000  0.0000  0.0000
Ti  0.0000  0.0000  0.5000

Computed properties:
relative energy among the computed polymorphs = 31 meV per atom
energy of formation = 210 meV per atom
total moment = 0.00 μB/atom

Record 4
First-principles (PBE) data for MgTaRe after structural relaxation, as listed in Alexandria via LeMat-Bulk.

a = 3.184 Å, b = 4.618 Å, c = 14.090 Å
α = 90.00°, β = 90.00°, γ = 90.00°
Space group Fmm2 (No. 42)
Inequivalent atoms, fractional coordinates:
Mg  0.000  0.000  0.000
Ta  0.000  0.000  0.682
Re  0.000  0.000  0.336

Computed properties:
relative energy among the computed polymorphs = 96 meV per atom
energy of formation = 154 meV per atom
total moment = 0.00 μB/atom

Record 5
First-principles (PBE) data for La2Pr3Dy after structural relaxation, as listed in Alexandria via LeMat-Bulk.

a = 7.115 Å, b = 17.064 Å, c = 3.572 Å
α = 90.00°, β = 90.00°, γ = 90.00°
Space group Pnnm (No. 58)
Inequivalent atoms, fractional coordinates:
La  0.248  0.159  0.000
Pr  0.000  0.500  0.000
Pr  0.249  0.845  0.000
Dy  0.000  0.000  0.500

Computed properties:
relative energy among the computed polymorphs = 3 meV per atom
energy of formation = 122 meV per atom
total moment = 0.00 μB/atom

Record 6
First-principles (PBE) data for Re2TeMo after structural relaxation, as listed in Alexandria via LeMat-Bulk.

a = 9.520 Å, b = 3.114 Å, c = 4.717 Å
α = 90.00°, β = 106.38°, γ = 90.00°
Space group Cm (No. 8)
Inequivalent atoms, fractional coordinates:
Re  0.000  0.000  0.000
Re  0.231  0.500  0.118
Te  0.479  0.000  0.466
Mo  0.228  0.000  0.633

Computed properties:
raw formation energy = 199 kJ/mol of formula units
total moment = 0.00 μB/atom